Density functional theory data (GGA-PBE) for an optimized crystal structure of NdMgGa2.

The crystal system is tetragonal. For the density of states at the Fermi level, the calculation gives 3.19 states/eV/f.u. Its density is 5.83 g cm⁻³. The calculation puts the energy of formation at -0.368 eV/atom.

Lattice parameters (Å, degrees): 3.515 3.515 7.103 90.00 90.00 90.00
Element x y z (fractional)
Nd (0.000, 0.000, 0.000)
Mg (0.000, 0.000, 0.500)
Ga (0.500, 0.500, 0.289)
Ga (0.500, 0.500, 0.711)